Compound: PaCrTc
Source: Alexandria via LeMat-Bulk
Functional: PBE
Structure: optimized geometry

ΔE_f (eV/atom): 0.534
Relative energy among the computed polymorphs (meV per atom): 335

a = 2.935 Å, b = 2.935 Å, c = 7.148 Å
α = 78.15°, β = 78.15°, γ = 60.00°
Positions (direct):
Tc: 0.261 0.261 0.218
Cr: 0.015 0.015 0.956
Pa: 0.132 0.132 0.605